# 1
Material: CdNiPt2
Method: DFT, SCAN
State: single point on PBEsol structure

Cell: 3.927 3.927 4.743 Å, 114.46 114.46 90.00°
Each line ends with the local moment (μB).
Positions (direct):
1 Ni 0.250 0.750 0.500  0.84
2 Pt 0.000 0.000 0.000  0.29
3 Pt 0.750 0.250 0.500  0.23
4 Cd 0.500 0.500 0.000  -0.01

- crystal system = tetragonal
- space-group type = I-4m2, No. 119
- density (kg/m³) = 15715
- formation energy (meV per atom) = -87

---

# 2
Material: Cd2NiPt
Method: DFT, SCAN
State: single point on PBEsol structure

Cell: 2.927 4.718 4.718 Å, 104.29 90.00 90.00°
Positions (direct):
1 Cd 0.000 0.500 0.000
2 Cd 0.000 0.000 0.500
3 Ni 0.500 0.500 0.500
4 Pt 0.500 0.000 0.000

- crystal system = orthorhombic
- space-group type = Cmmm, No. 65
- density (kg/m³) = 12586
- formation energy (meV per atom) = -104

---

# 3
Material: Cd2NiPt
Method: DFT, SCAN
State: single point on PBEsol structure

Cell: 4.107 4.725 4.107 Å, 64.24 90.00 115.76°
Positions (direct):
1 Ni 0.000 0.000 0.000
2 Pt 0.500 0.000 0.500
3 Cd 0.750 0.500 0.750
4 Cd 0.250 0.500 0.250

- crystal system = tetragonal
- space-group type = I4/mmm, No. 139
- density (kg/m³) = 12638
- formation energy (meV per atom) = -141

---

# 4
Material: CdNi2Pt
Method: DFT, SCAN
State: single point on PBEsol structure

Cell: 2.733 2.733 8.665 Å, 80.93 80.93 60.00°
Each line ends with the local moment (μB).
Positions (direct):
1 Cd 0.745 0.745 0.764  -0.01
2 Pt 0.507 0.507 0.478  0.10
3 Ni 0.992 0.992 0.023  0.78
4 Ni 0.255 0.255 0.235  0.91

- crystal system = trigonal
- space-group type = R3m, No. 160
- density (kg/m³) = 12797
- formation energy (meV per atom) = 83